DFT (SCAN) results for a PBEsol-optimized structure of ZnHgTe.

Its symmetry is F-43m, No. 216. The total DFT energy (no corrections) comes out at -1.4468 hartree per atom.

Cell: 4.8124 4.8124 4.8124 Å, 60.00 60.00 60.00°
Element x y z (fractional)
Zn  0.0000  0.0000  0.0000
Hg  0.2500  0.2500  0.2500
Te  0.5000  0.5000  0.5000

=====

DFT (SCAN) results for a PBEsol-optimized structure of ZrHgTe.

Its symmetry is P3m1, No. 156. The total DFT energy (no corrections) comes out at -1.6802 hartree per atom.

Cell: 3.6415 3.6415 6.6830 Å, 90.00 90.00 120.00°
Element x y z (fractional)
Zr  0.0000  0.0000  0.0000
Hg  0.3333  0.6667  0.6857
Te  0.6667  0.3333  0.2837

=====

DFT (SCAN) results for a PBEsol-optimized structure of Zr2HgTe.

Its symmetry is R3m, No. 160. The total DFT energy (no corrections) comes out at -1.5412 hartree per atom.

Cell: 9.4098 9.4098 9.4098 Å, 21.34 21.34 21.34°
Element x y z (fractional)
Zr  0.0000  0.0000  0.0000
Zr  0.2490  0.2490  0.2490
Hg  0.7481  0.7481  0.7481
Te  0.5079  0.5079  0.5079

=====

Repeat the third record exactly.
DFT (SCAN) results for a PBEsol-optimized structure of Zr2HgTe.

Its symmetry is R3m, No. 160. The total DFT energy (no corrections) comes out at -1.5412 hartree per atom.

Cell: 9.4098 9.4098 9.4098 Å, 21.34 21.34 21.34°
Element x y z (fractional)
Zr  0.0000  0.0000  0.0000
Zr  0.2490  0.2490  0.2490
Hg  0.7481  0.7481  0.7481
Te  0.5079  0.5079  0.5079

=====

> What is the formula in the third record?

Zr2HgTe